# CrHgF2

An optimized crystal structure of CrHgF2 (GGA+U, the Alexandria database).

Values from the calculation:
Crystal system: cubic
Excess energy over the best structure of this formula in the dataset, eV per atom: 0.6257
N(E_F), states/eV/f.u.: 2.02
E_tot, eV per atom: -3.9273

a = 6.2400 Å, b = 6.2400 Å, c = 6.2400 Å
α = 90.00°, β = 90.00°, γ = 90.00°
Last column: nearest neighbours and their distance in Å.
Space group Fm-3m (No. 225)
Asymmetric unit:
Cr1 0.0000 0.0000 0.0000 x4  8 F 2.70
Hg1 0.0000 0.0000 0.5000 x4  8 F 2.70
F1 0.2500 0.2500 0.2500 x8  4 Hg 2.70, 4 Cr 2.70